[1]
Computed, not measured: crystalline K2MgIn4Hg3 at its relaxed geometry at the PBE level of DFT.

Values from the calculation:
**Magnetic moment**: 0.000 μB/atom
**Crystal system**: tetragonal
**E**: -1.692 eV/atom
**Energy of formation from the pure elements**: -127 meV/atom
**Calculated volume**: 29.96 A^3/atom

Cell and atoms, written as POSCAR:
```
K2MgIn4Hg3
1.0
4.843 0.000 0.000
0.000 4.843 0.000
0.000 0.000 12.775
K Mg In Hg
2 1 4 3
direct
0.000 0.500 0.248
0.500 0.000 0.752
0.000 0.000 0.500
0.000 0.000 0.000
0.000 0.500 0.633
0.500 0.000 0.367
0.500 0.500 0.000
0.000 0.500 0.859
0.500 0.000 0.141
0.500 0.500 0.500
```

[2]
Computed, not measured: crystalline KMgInHg at its relaxed geometry at the PBE level of DFT.

Values from the calculation:
**Magnetic moment**: 0.000 μB/atom
**Crystal system**: cubic
**E**: -1.449 eV/atom
**Energy of formation from the pure elements**: -16 meV/atom
**Calculated volume**: 28.62 A^3/atom

Cell and atoms, written as POSCAR:
```
KMgInHg
1.0
0.000 3.854 3.854
3.854 0.000 3.854
3.854 3.854 0.000
K Mg In Hg
1 1 1 1
direct
0.000 0.000 0.000
0.500 0.500 0.500
0.250 0.250 0.250
0.750 0.750 0.750
```

[3]
Computed, not measured: crystalline KMgIn2Hg4 at its relaxed geometry at the PBE level of DFT.

Values from the calculation:
**Magnetic moment**: 0.000 μB/atom
**Crystal system**: trigonal
**E**: -1.313 eV/atom
**Energy of formation from the pure elements**: -141 meV/atom
**Calculated volume**: 28.90 A^3/atom

Cell and atoms, written as POSCAR:
```
KMgIn2Hg4
1.0
2.439 1.408 11.221
-2.439 1.408 11.221
0.000 -2.816 11.221
K Mg In Hg
1 1 2 4
direct
0.000 0.000 0.000
0.500 0.500 0.500
0.236 0.236 0.236
0.764 0.764 0.764
0.134 0.134 0.134
0.395 0.395 0.395
0.605 0.605 0.605
0.866 0.866 0.866
```

[4]
Computed, not measured: crystalline K2NaIn3Hg12 at its relaxed geometry at the PBE level of DFT.

Values from the calculation:
**Magnetic moment**: 0.000 μB/atom
**Crystal system**: trigonal
**E**: -0.930 eV/atom
**Energy of formation from the pure elements**: -77 meV/atom
**Calculated volume**: 29.92 A^3/atom

Cell and atoms, written as POSCAR:
```
K2NaIn3Hg12
1.0
5.563 3.212 5.024
-5.563 3.212 5.024
0.000 -6.424 5.024
K Na In Hg
2 1 3 12
direct
0.170 0.170 0.170
0.830 0.830 0.830
0.500 0.500 0.500
0.000 0.500 0.500
0.500 0.000 0.500
0.500 0.500 0.000
0.102 0.102 0.597
0.102 0.597 0.102
0.218 0.695 0.695
0.305 0.305 0.782
0.305 0.782 0.305
0.403 0.898 0.898
0.597 0.102 0.102
0.695 0.218 0.695
0.695 0.695 0.218
0.782 0.305 0.305
0.898 0.403 0.898
0.898 0.898 0.403
```

[5]
Computed, not measured: crystalline KNaInHg at its relaxed geometry at the PBE level of DFT.

Values from the calculation:
**Magnetic moment**: 0.000 μB/atom
**ΔE to the lowest computed polymorph**: 0.035 eV per atom
**Crystal system**: cubic
**E**: -1.475 eV/atom
**Energy of formation from the pure elements**: -111 meV/atom
**Calculated volume**: 29.80 A^3/atom

Cell and atoms, written as POSCAR:
```
KNaInHg
1.0
0.000 3.906 3.906
3.906 0.000 3.906
3.906 3.906 0.000
K Na In Hg
1 1 1 1
direct
0.000 0.000 0.000
0.250 0.250 0.250
0.500 0.500 0.500
0.750 0.750 0.750
```

[6]
Computed, not measured: crystalline KNaIn2Hg4 at its relaxed geometry at the PBE level of DFT.

Values from the calculation:
**Magnetic moment**: 0.000 μB/atom
**Crystal system**: trigonal
**E**: -1.306 eV/atom
**Energy of formation from the pure elements**: -168 meV/atom
**Calculated volume**: 28.00 A^3/atom

Cell and atoms, written as POSCAR:
```
KNaIn2Hg4
1.0
2.620 1.513 9.420
-2.620 1.513 9.420
0.000 -3.026 9.420
K Na In Hg
1 1 2 4
direct
0.000 0.000 0.000
0.500 0.500 0.500
0.242 0.242 0.242
0.758 0.758 0.758
0.130 0.130 0.130
0.388 0.388 0.388
0.612 0.612 0.612
0.870 0.870 0.870
```

[7]
Computed, not measured: crystalline K2Na4In2Hg at its relaxed geometry at the PBE level of DFT.

Values from the calculation:
**Magnetic moment**: 0.000 μB/atom
**Crystal system**: monoclinic
**E**: -1.580 eV/atom
**Energy of formation from the pure elements**: -108 meV/atom
**Calculated volume**: 34.87 A^3/atom

Cell and atoms, written as POSCAR:
```
K2Na4In2Hg
1.0
5.652 -3.568 0.000
5.652 3.568 0.000
-1.122 0.000 7.780
K Na In Hg
2 4 2 1
direct
0.163 0.163 0.395
0.837 0.837 0.605
0.126 0.634 0.143
0.366 0.874 0.857
0.634 0.126 0.143
0.874 0.366 0.857
0.374 0.374 0.800
0.626 0.626 0.200
0.500 0.500 0.500
```

[8]
Computed, not measured: crystalline K2Na6InHg at its relaxed geometry at the PBE level of DFT.

Values from the calculation:
**Magnetic moment**: 0.000 μB/atom
**Crystal system**: cubic
**E**: -1.324 eV/atom
**Energy of formation from the pure elements**: -9 meV/atom
**Calculated volume**: 44.02 A^3/atom

Cell and atoms, written as POSCAR:
```
K2Na6InHg
1.0
0.000 6.038 6.038
6.038 0.000 6.038
6.038 6.038 0.000
K Na In Hg
2 6 1 1
direct
0.250 0.250 0.250
0.750 0.750 0.750
0.247 0.247 0.753
0.247 0.753 0.247
0.247 0.753 0.753
0.753 0.247 0.247
0.753 0.247 0.753
0.753 0.753 0.247
0.500 0.500 0.500
0.000 0.000 0.000
```

[9]
Computed, not measured: crystalline K2NaInHg6 at its relaxed geometry at the PBE level of DFT.

Values from the calculation:
**Magnetic moment**: 0.000 μB/atom
**Crystal system**: cubic
**E**: -0.865 eV/atom
**Energy of formation from the pure elements**: -58 meV/atom
**Calculated volume**: 38.44 A^3/atom

Cell and atoms, written as POSCAR:
```
K2NaInHg6
1.0
0.000 5.771 5.771
5.771 0.000 5.771
5.771 5.771 0.000
K Na In Hg
2 1 1 6
direct
0.250 0.250 0.250
0.750 0.750 0.750
0.000 0.000 0.000
0.500 0.500 0.500
0.247 0.247 0.753
0.247 0.753 0.247
0.247 0.753 0.753
0.753 0.247 0.247
0.753 0.247 0.753
0.753 0.753 0.247
```

[10]
Computed, not measured: crystalline KNaInHg at its relaxed geometry at the PBE level of DFT.

Values from the calculation:
**Magnetic moment**: 0.000 μB/atom
**ΔE to the lowest computed polymorph**: 0.000 eV per atom
**Crystal system**: monoclinic
**E**: -1.510 eV/atom
**Energy of formation from the pure elements**: -146 meV/atom
**Calculated volume**: 35.07 A^3/atom

Cell and atoms, written as POSCAR:
```
KNaInHg
1.0
4.424 -2.555 0.000
4.424 2.555 0.000
-2.965 0.000 6.205
K Na In Hg
1 1 1 1
direct
0.000 0.000 0.000
0.800 0.800 0.403
0.211 0.211 0.634
0.538 0.538 0.614
```

[11]
Computed, not measured: crystalline KNaIn2Hg at its relaxed geometry at the PBE level of DFT.

Values from the calculation:
**Magnetic moment**: 0.000 μB/atom
**Crystal system**: orthorhombic
**E**: -1.780 eV/atom
**Energy of formation from the pure elements**: -141 meV/atom
**Calculated volume**: 32.31 A^3/atom

Cell and atoms, written as POSCAR:
```
KNaIn2Hg
1.0
-2.532 2.568 6.210
2.532 -2.568 6.210
2.532 2.568 -6.210
K Na In Hg
1 1 2 1
direct
0.000 0.000 0.000
0.243 0.743 0.500
0.383 0.383 0.000
0.755 0.255 0.500
0.615 0.615 0.000
```

[12]
Computed, not measured: crystalline KInNiHg2 at its relaxed geometry at the PBE level of DFT.

Values from the calculation:
**Magnetic moment**: 0.000 μB/atom
**Crystal system**: tetragonal
**E**: -2.159 eV/atom
**Energy of formation from the pure elements**: -115 meV/atom
**Calculated volume**: 27.03 A^3/atom

Cell and atoms, written as POSCAR:
```
KInNiHg2
1.0
5.209 0.000 0.000
0.000 5.209 0.000
0.000 0.000 4.981
K In Ni Hg
1 1 1 2
direct
0.000 0.000 0.000
0.500 0.500 0.000
0.500 0.500 0.500
0.000 0.500 0.500
0.500 0.000 0.500
```